PBEsol MgCd2Cu2, relaxed; energy of formation from the pure elements = -0.0156 eV per atom; total energy = -25.715 eV/cell
1.0
7.216 0.000 0.000
0.000 7.216 0.000
0.000 0.000 3.176
Mg Cd Cu
2 4 4
direct
0.000 0.000 0.000 Mg
0.500 0.500 0.000 Mg
0.170 0.330 0.500 Cd
0.330 0.830 0.500 Cd
0.670 0.170 0.500 Cd
0.830 0.670 0.500 Cd
0.125 0.625 0.000 Cu
0.375 0.125 0.000 Cu
0.625 0.875 0.000 Cu
0.875 0.375 0.000 Cu